The following is a DFT calculation (PBE-GGA) of an optimized crystal structure of In3Si.

The structure in POSCAR format:
```
In3Si
1.0
10.331 0.000 0.000
-5.165 8.947 0.000
0.000 0.000 3.173
In Si
9 3
direct
0.000 0.500 0.000
0.167 0.333 0.333
0.167 0.833 0.333
0.333 0.167 0.667
0.500 0.000 0.000
0.500 0.500 0.000
0.667 0.833 0.333
0.833 0.167 0.667
0.833 0.667 0.667
0.000 0.000 0.000
0.333 0.667 0.667
0.667 0.333 0.333
```

- formation energy without anion corrections (eV/atom) = 0.328
- mass density (Mg/m³) = 6.33
- SG = R-3m

The following is a DFT calculation (PBE-GGA) of an optimized crystal structure of Sm6In2Si.

The structure in POSCAR format:
```
Sm6In2Si
1.0
3.970 0.000 0.000
0.000 7.598 4.383
0.000 -7.598 4.383
Sm In Si
6 2 1
direct
0.000 0.000 0.000
0.000 0.489 0.743
0.000 0.743 0.489
0.500 0.133 0.744
0.500 0.354 0.354
0.500 0.744 0.133
0.000 0.077 0.411
0.000 0.411 0.077
0.500 0.745 0.745
```

- formation energy without anion corrections (eV/atom) = -0.387
- mass density (Mg/m³) = 7.28
- SG = Amm2

The following is a DFT calculation (PBE-GGA) of an optimized crystal structure of SmInSi.

The structure in POSCAR format:
```
SmInSi
1.0
4.332 0.000 0.000
-2.166 3.752 0.000
0.000 0.000 4.513
Sm In Si
1 1 1
direct
0.000 0.000 0.000
0.333 0.667 0.561
0.667 0.333 0.365
```

- formation energy without anion corrections (eV/atom) = -0.423
- mass density (Mg/m³) = 6.64
- SG = P3m1

The following is a DFT calculation (PBE-GGA) of an optimized crystal structure of Sm12InSi6.

The structure in POSCAR format:
```
Sm12InSi6
1.0
-5.084 5.084 5.084
5.084 -5.084 5.084
5.084 5.084 -5.084
Sm In Si
12 1 6
direct
0.109 0.297 0.812
0.188 0.485 0.297
0.188 0.891 0.703
0.297 0.188 0.485
0.297 0.812 0.109
0.485 0.297 0.188
0.515 0.703 0.812
0.703 0.188 0.891
0.703 0.812 0.515
0.812 0.109 0.297
0.812 0.515 0.703
0.891 0.703 0.188
0.000 0.000 0.000
0.115 0.500 0.615
0.385 0.885 0.500
0.500 0.385 0.885
0.500 0.615 0.115
0.615 0.115 0.500
0.885 0.500 0.385
```

- formation energy without anion corrections (eV/atom) = -0.546
- mass density (Mg/m³) = 6.60
- SG = Im-3

The following is a DFT calculation (PBE-GGA) of an optimized crystal structure of Sm5InSi2.

The structure in POSCAR format:
```
Sm5InSi2
1.0
-3.907 3.907 7.244
3.907 -3.907 7.244
3.907 3.907 -7.244
Sm In Si
10 2 4
direct
0.000 0.000 0.000
0.035 0.535 0.848
0.188 0.035 0.500
0.312 0.812 0.848
0.465 0.312 0.500
0.500 0.500 0.000
0.535 0.688 0.500
0.688 0.188 0.152
0.812 0.965 0.500
0.965 0.465 0.152
0.250 0.250 0.000
0.750 0.750 0.000
0.120 0.380 0.500
0.380 0.880 0.260
0.620 0.120 0.740
0.880 0.620 0.500
```

- formation energy without anion corrections (eV/atom) = -0.560
- mass density (Mg/m³) = 6.93
- SG = I4/mcm

The following is a DFT calculation (PBE-GGA) of an optimized crystal structure of SmInSi.

The structure in POSCAR format:
```
SmInSi
1.0
4.256 0.000 0.000
0.000 17.835 0.000
0.000 0.000 3.808
Sm In Si
4 4 4
direct
0.000 0.091 0.250
0.000 0.909 0.750
0.500 0.409 0.750
0.500 0.591 0.250
0.000 0.288 0.250
0.000 0.712 0.750
0.500 0.212 0.750
0.500 0.788 0.250
0.000 0.459 0.250
0.000 0.541 0.750
0.500 0.041 0.750
0.500 0.959 0.250
```

- formation energy without anion corrections (eV/atom) = -0.525
- mass density (Mg/m³) = 6.74
- SG = Cmcm

The following is a DFT calculation (PBE-GGA) of an optimized crystal structure of Sm4InSi.

The structure in POSCAR format:
```
Sm4InSi
1.0
5.838 0.000 0.000
0.000 6.856 0.000
-1.459 0.000 8.613
Sm In Si
8 2 2
direct
0.153 0.250 0.048
0.184 0.750 0.364
0.343 0.513 0.747
0.343 0.987 0.747
0.657 0.013 0.253
0.657 0.487 0.253
0.816 0.250 0.636
0.847 0.750 0.952
0.231 0.250 0.419
0.769 0.750 0.581
0.347 0.750 0.041
0.653 0.250 0.959
```

- formation energy without anion corrections (eV/atom) = -0.412
- mass density (Mg/m³) = 7.17
- SG = P2_1/m

The following is a DFT calculation (PBE-GGA) of an optimized crystal structure of Sm6InSi2Te3.

The structure in POSCAR format:
```
Sm6InSi2Te3
1.0
9.617 -2.160 0.000
9.617 2.160 0.000
-2.311 0.000 8.609
Sm In Si Te
6 1 2 3
direct
0.008 0.008 0.258
0.326 0.326 0.434
0.331 0.331 0.895
0.669 0.669 0.105
0.674 0.674 0.566
0.992 0.992 0.742
0.500 0.500 0.000
0.167 0.167 0.333
0.833 0.833 0.667
0.164 0.164 0.831
0.500 0.500 0.500
0.836 0.836 0.169
```

- formation energy without anion corrections (eV/atom) = -1.018
- mass density (Mg/m³) = 6.76
- SG = C2/m

The following is a DFT calculation (PBE-GGA) of an optimized crystal structure of InSi2Sn.

The structure in POSCAR format:
```
InSi2Sn
1.0
6.968 0.000 0.000
0.000 6.968 0.000
0.000 0.000 6.968
In Si Sn
4 8 4
direct
0.000 0.000 0.000
0.000 0.500 0.500
0.500 0.000 0.500
0.500 0.500 0.000
0.250 0.250 0.250
0.250 0.250 0.750
0.250 0.750 0.250
0.250 0.750 0.750
0.750 0.250 0.250
0.750 0.250 0.750
0.750 0.750 0.250
0.750 0.750 0.750
0.000 0.000 0.500
0.000 0.500 0.000
0.500 0.000 0.000
0.500 0.500 0.500
```

- formation energy without anion corrections (eV/atom) = 0.488
- offset from the most stable computed form (meV per atom) = 178
- mass density (Mg/m³) = 5.69
- SG = Fm-3m

The following is a DFT calculation (PBE-GGA) of an optimized crystal structure of InSiSn2.

The structure in POSCAR format:
```
InSiSn2
1.0
6.447 0.000 0.000
0.000 6.447 0.000
0.000 0.000 12.280
In Si Sn
4 4 8
direct
0.000 0.000 0.000
0.000 0.500 0.250
0.500 0.000 0.750
0.500 0.500 0.500
0.000 0.000 0.500
0.000 0.500 0.750
0.500 0.000 0.250
0.500 0.500 0.000
0.218 0.250 0.625
0.250 0.718 0.875
0.250 0.782 0.375
0.282 0.250 0.125
0.718 0.750 0.125
0.750 0.218 0.375
0.750 0.282 0.875
0.782 0.750 0.625
```

- formation energy without anion corrections (eV/atom) = 0.188
- offset from the most stable computed form (meV per atom) = 0
- mass density (Mg/m³) = 4.95
- SG = I-42d

The following is a DFT calculation (PBE-GGA) of an optimized crystal structure of InSi2Sn2.

The structure in POSCAR format:
```
InSi2Sn2
1.0
7.707 0.000 0.000
0.000 7.707 0.000
0.000 0.000 3.878
In Si Sn
2 4 4
direct
0.000 0.000 0.000
0.500 0.500 0.000
0.114 0.386 0.000
0.386 0.886 0.000
0.614 0.114 0.000
0.886 0.614 0.000
0.174 0.674 0.500
0.326 0.174 0.500
0.674 0.826 0.500
0.826 0.326 0.500
```

- formation energy without anion corrections (eV/atom) = 0.310
- offset from the most stable computed form (meV per atom) = 86
- mass density (Mg/m³) = 5.89
- SG = P4/mbm

The following is a DFT calculation (PBE-GGA) of an optimized crystal structure of InSi3Sn.

The structure in POSCAR format:
```
InSi3Sn
1.0
5.171 0.000 0.000
0.000 5.171 0.000
0.000 0.000 5.171
In Si Sn
1 3 1
direct
0.000 0.000 0.000
0.000 0.500 0.500
0.500 0.000 0.500
0.500 0.500 0.000
0.500 0.500 0.500
```

- formation energy without anion corrections (eV/atom) = 1.159
- offset from the most stable computed form (meV per atom) = 0
- mass density (Mg/m³) = 3.82
- SG = Pm-3m